[1]
This record from Alexandria via LeMat-Bulk describes an optimized crystal structure of TmZrSc2Ir4. The functional is PBE. Values from VASP.

Volume: 17.90 Å³ per atom
ΔE_f: -0.930 eV per atom
Magnetization: 0.000 μB per formula unit
Theoretical density: 12.977 g/cm³
Crystal system: trigonal

Structure (Quantum ESPRESSO input):
```
&SYSTEM
  ibrav = 0, nat = 8, ntyp = 4
/
ATOMIC_SPECIES
Sc 44.96 Sc.upf
Ir 192.22 Ir.upf
Zr 91.22 Zr.upf
Tm 168.93 Tm.upf
CELL_PARAMETERS angstrom
4.660 0.000 0.000
2.330 4.036 0.000
2.330 1.345 7.612
ATOMIC_POSITIONS angstrom
Sc 6.991 4.036 5.721
Sc 2.330 1.345 1.891
Ir 4.660 2.691 1.027
Ir 2.330 1.345 4.683
Ir 4.660 2.691 6.585
Ir 6.991 4.036 2.929
Zr 4.660 2.691 3.806
Tm 0.000 0.000 0.000
```

[2]
This record from Alexandria via LeMat-Bulk describes an optimized crystal structure of ScUIr4. The functional is PBE. Values from VASP.

Volume: 17.46 Å³ per atom
ΔE_f: -0.634 eV per atom
Magnetization: 2.056 μB per formula unit
Theoretical density: 16.672 g/cm³
Crystal system: cubic

Structure (Quantum ESPRESSO input):
```
&SYSTEM
  ibrav = 0, nat = 6, ntyp = 3
/
ATOMIC_SPECIES
Ir 192.22 Ir.upf
Sc 44.96 Sc.upf
U 238.03 U.upf
CELL_PARAMETERS angstrom
5.291 0.000 0.000
2.646 4.583 0.000
2.646 1.528 4.320
ATOMIC_POSITIONS angstrom
Ir 3.975 3.815 2.698
Ir 5.291 3.055 0.547
Ir 6.608 3.815 2.698
Ir 5.291 1.534 2.698
Sc 2.646 1.528 1.080
U 0.000 0.000 0.000
```

[3]
This record from Alexandria via LeMat-Bulk describes an optimized crystal structure of ScUIr6. The functional is PBE. Values from VASP.

Volume: 15.95 Å³ per atom
ΔE_f: -0.686 eV per atom
Magnetization: 0.000 μB per formula unit
Theoretical density: 18.687 g/cm³
Crystal system: tetragonal

Structure (Quantum ESPRESSO input):
```
&SYSTEM
  ibrav = 0, nat = 8, ntyp = 3
/
ATOMIC_SPECIES
Ir 192.22 Ir.upf
U 238.03 U.upf
Sc 44.96 Sc.upf
CELL_PARAMETERS angstrom
4.004 0.000 0.000
0.000 5.646 -0.036
0.000 0.036 5.646
ATOMIC_POSITIONS angstrom
Ir 0.000 1.430 4.234
Ir 2.002 2.823 -0.018
Ir 0.000 1.412 1.395
Ir 0.000 4.252 1.376
Ir 2.002 0.018 2.823
Ir 0.000 4.269 4.215
U 2.002 0.000 0.000
Sc 2.002 2.841 2.805
```

[4]
This record from Alexandria via LeMat-Bulk describes an optimized crystal structure of ScUIr. The functional is PBE. Values from VASP.

Volume: 19.84 Å³ per atom
ΔE_f: -0.257 eV per atom
Magnetization: 2.304 μB per formula unit
Theoretical density: 13.258 g/cm³
Crystal system: orthorhombic

Structure (Quantum ESPRESSO input):
```
&SYSTEM
  ibrav = 0, nat = 12, ntyp = 3
/
ATOMIC_SPECIES
U 238.03 U.upf
Ir 192.22 Ir.upf
Sc 44.96 Sc.upf
CELL_PARAMETERS angstrom
-1.559 -2.469 0.282
3.783 -4.147 -0.124
0.610 -0.412 15.027
ATOMIC_POSITIONS angstrom
U 0.589 -4.390 2.970
U 0.172 -0.671 10.333
U 1.465 -3.871 12.356
U -1.121 -2.210 4.975
Ir 1.604 -3.016 5.355
Ir 2.009 -2.777 9.689
Ir -0.372 -1.766 13.001
Ir -0.577 -1.115 2.308
Sc -0.103 -3.410 7.729
Sc -0.430 -3.190 0.216
Sc 2.157 -4.852 7.597
Sc 2.653 -3.426 -0.058
```

[5]
This record from Alexandria via LeMat-Bulk describes an optimized crystal structure of Sc2VIr4. The functional is PBE. Values from VASP.

Volume: 19.41 Å³ per atom
ΔE_f: 0.274 eV per atom
Magnetization: 0.000 μB per formula unit
Theoretical density: 11.118 g/cm³
Crystal system: tetragonal

Structure (Quantum ESPRESSO input):
```
&SYSTEM
  ibrav = 0, nat = 7, ntyp = 3
/
ATOMIC_SPECIES
Sc 44.96 Sc.upf
V 50.94 V.upf
Ir 192.22 Ir.upf
CELL_PARAMETERS angstrom
4.528 0.000 0.000
0.000 4.528 0.000
2.264 2.264 6.627
ATOMIC_POSITIONS angstrom
Sc 4.528 4.528 4.840
Sc 2.264 2.264 1.787
V 0.000 0.000 0.000
Ir 4.528 4.528 2.333
Ir 2.264 0.000 0.000
Ir 0.000 2.264 0.000
Ir 2.264 2.264 4.294
```

[6]
This record from Alexandria via LeMat-Bulk describes an optimized crystal structure of ScV2Ir. The functional is PBE. Values from VASP.

Volume: 17.31 Å³ per atom
ΔE_f: 0.138 eV per atom
Magnetization: 0.000 μB per formula unit
Theoretical density: 8.130 g/cm³
Crystal system: tetragonal

Structure (Quantum ESPRESSO input):
```
&SYSTEM
  ibrav = 0, nat = 8, ntyp = 3
/
ATOMIC_SPECIES
V 50.94 V.upf
Sc 44.96 Sc.upf
Ir 192.22 Ir.upf
CELL_PARAMETERS angstrom
-6.281 3.398 -1.202
-0.233 -2.791 -6.678
-4.569 -1.795 -3.017
ATOMIC_POSITIONS angstrom
V -1.794 -1.919 -5.025
V -9.136 -0.939 -9.453
V -5.859 -0.995 -4.922
V -5.375 1.477 -2.393
Sc -4.029 -2.141 -6.817
Sc -3.257 0.304 -3.940
Ir 0.000 0.000 0.000
Ir -7.053 0.954 -4.079
```